Record 1
## DyCdNi (PBE)

Data for a geometry-optimized DyCdNi structure.

Cell: 4.5276 4.5276 4.5276 Å, 60.00 60.00 60.00°
Fractional positions:
Ni1 0.0000 0.0000 0.0000
Cd1 0.2500 0.2500 0.2500
Dy1 0.7500 0.7500 0.7500

Energy relative to the elements ... -0.242 eV per atom
Magnetization ... 0.000 μB per atom
Space group ... F-43m, No. 216

Record 2
## DyYCd3Ni2 (PBE)

Data for a geometry-optimized DyYCd3Ni2 structure.

Cell: 3.6254 10.4495 10.4495 Å, 21.70 90.00 90.00°
Fractional positions:
Cd1 0.5000 0.4223 0.4223
Ni1 0.5000 0.2851 0.2851
Cd2 0.0000 0.0001 0.0001
Dy1 0.0000 0.1731 0.1731
Cd3 0.5000 0.5779 0.5779
Y1 0.0000 0.8280 0.8280
Ni2 0.5000 0.7134 0.7134

Energy relative to the elements ... -0.372 eV per atom
Magnetization ... 0.001 μB per atom
Space group ... Amm2, No. 38

Record 3
## DyNpCd (PBE)

Data for a geometry-optimized DyNpCd structure.

Cell: 4.8410 4.8410 4.8410 Å, 60.00 60.00 60.00°
Each line ends with the local moment (μB).
Fractional positions:
Np1 0.0000 0.0000 0.0000  4.12
Cd1 0.5000 0.5000 0.5000  -0.02
Dy1 0.2500 0.2500 0.2500  0.37

Energy relative to the elements ... 0.934 eV per atom
Magnetization ... 1.508 μB per atom
Space group ... F-43m, No. 216

Record 4
## Dy2Cd2O5 (PBE)

Data for a geometry-optimized Dy2Cd2O5 structure.

Cell: 7.2242 4.1948 4.1948 Å, 90.00 90.00 90.00°
Fractional positions:
Dy1 0.0000 0.0000 0.0000
O1 0.5000 0.5000 0.5000
O2 0.1961 0.5000 0.0000
O3 0.1961 0.0000 0.5000
Cd1 0.2045 0.5000 0.5000
Cd2 0.7955 0.5000 0.5000
O4 0.8039 0.5000 0.0000
O5 0.8039 0.0000 0.5000
Dy2 0.5000 0.0000 0.0000

Magnetization ... 0.000 μB per atom
Space group ... P4/mmm, No. 123
Polymorph energy (0 for the lowest one) ... 309 meV per atom